Record 1
MnAlZn2Ni: optimized geometry, PBE.

The calculation puts the total energy at -18.962 eV per formula unit. The density of states at the Fermi level is 0.502 states/eV/atom. The energy of formation from the pure elements comes out at 0.456 eV/atom.

The structure belongs to space group P4/mmm (No. 123); the cell edges are 4.509, 4.509 and 4.540 Å and the angles 90.00°, 90.00° and 90.00°. The distinct sites, in fractional coordinates, are Mn at (0.000, 0.000, 0.000), Al at (0.500, 0.500, 0.000), Zn at (0.000, 0.500, 0.500) and Ni at (0.000, 0.000, 0.500).

***

Record 2
Zr2MnAlNi: optimized geometry, PBE.

The calculation puts the total energy at -33.163 eV per formula unit. The density of states at the Fermi level is 1.187 states/eV/atom. The energy of formation from the pure elements comes out at 0.525 eV/atom.

The structure belongs to space group P4/mmm (No. 123); the cell edges are 4.783, 4.783 and 4.279 Å and the angles 90.00°, 90.00° and 90.00°. The distinct sites, in fractional coordinates, are Zr at (0.000, 0.500, 0.000), Mn at (0.000, 0.000, 0.500), Al at (0.500, 0.500, 0.500) and Ni at (0.500, 0.500, 0.000).

***

Record 3
NpMn4Al: optimized geometry, PBE.

The calculation puts the total energy at -52.554 eV per formula unit. The density of states at the Fermi level is 1.636 states/eV/atom. The energy of formation from the pure elements comes out at 0.135 eV/atom.

The structure belongs to space group F-43m (No. 216); the cell edges are 6.916, 6.916 and 6.916 Å and the angles 90.00°, 90.00° and 90.00°. The distinct sites, in fractional coordinates, are Np at (0.000, 0.000, 0.000), Mn at (0.124, 0.124, 0.376) and Al at (0.250, 0.250, 0.750).

***

Record 4
NpMnAl: optimized geometry, PBE.

The calculation puts the total energy at -25.890 eV per formula unit. The density of states at the Fermi level is 1.188 states/eV/atom. The energy of formation from the pure elements comes out at -0.012 eV/atom.

The structure belongs to space group P2_1/c (No. 14); the cell edges are 7.767, 4.905 and 5.221 Å and the angles 90.00°, 97.06° and 90.00°. The distinct sites, in fractional coordinates, are Np at (0.189, 0.157, 0.427), Mn at (0.147, 0.672, 0.451) and Al at (0.432, 0.687, 0.276).

***

Record 5
NpMnAl: optimized geometry, PBE.

The calculation puts the total energy at -25.874 eV per formula unit. The density of states at the Fermi level is 1.368 states/eV/atom. The energy of formation from the pure elements comes out at -0.007 eV/atom.

The structure belongs to space group I4mm (No. 107); the cell edges are 2.936, 2.936 and 11.305 Å and the angles 90.00°, 90.00° and 90.00°. The distinct sites, in fractional coordinates, are Np at (0.000, 0.000, 0.000), Mn at (0.000, 0.000, 0.349) and Al at (0.000, 0.000, 0.714).

***

Record 6
NpMn2Al: optimized geometry, PBE.

The calculation puts the total energy at -34.770 eV per formula unit. The density of states at the Fermi level is 1.268 states/eV/atom. The energy of formation from the pure elements comes out at 0.063 eV/atom.

The structure belongs to space group P4/mmm (No. 123); the cell edges are 3.035, 3.035 and 6.567 Å and the angles 90.00°, 90.00° and 90.00°. The distinct sites, in fractional coordinates, are Np at (0.000, 0.000, 0.000), Mn at (0.500, 0.500, 0.284) and Al at (0.000, 0.000, 0.500).

***

- The lowest density of states at the Fermi level belongs to which entry?
  MnAlZn2Ni